# ScNbMo2N, relaxed, DFT PBE
# * formation energy without anion corrections: -0.274 eV per atom
# * calculated volume: 15.38 Å³ per atom
data_ScNbMo2N
_chemical_formula_sum 'Sc1 Nb1 Mo2 N1'
_symmetry_space_group_name_H-M 'P 4/m m m'
_symmetry_Int_Tables_number 123
_symmetry_space_group_name_Hall '-P 4 2'
_cell_length_a 4.219
_cell_length_b 4.219
_cell_length_c 4.319
_cell_angle_alpha 90.00
_cell_angle_beta 90.00
_cell_angle_gamma 90.00
loop_
_atom_site_label
_atom_site_type_symbol
_atom_site_fract_x
_atom_site_fract_y
_atom_site_fract_z
_atom_site_occupancy
Sc1 Sc 0.000 0.000 0.000 1
Nb1 Nb 0.500 0.500 0.000 1
Mo1 Mo 0.000 0.500 0.500 1
N1 N 0.500 0.500 0.500 1

***

# TbSmRhI, relaxed, DFT PBE
# * formation energy without anion corrections: -0.941 eV per atom
# * calculated volume: 29.30 Å³ per atom
data_TbSmRhI
_chemical_formula_sum 'Tb3 Sm3 Rh3 I3'
_symmetry_space_group_name_H-M 'R 3 m'
_symmetry_Int_Tables_number 160
_symmetry_space_group_name_Hall 'R 3 -2"'
_cell_length_a 4.1042
_cell_length_b 4.1042
_cell_length_c 24.0990
_cell_angle_alpha 90.00
_cell_angle_beta 90.00
_cell_angle_gamma 120.00
loop_
_atom_site_label
_atom_site_type_symbol
_atom_site_fract_x
_atom_site_fract_y
_atom_site_fract_z
_atom_site_occupancy
Tb1 Tb 0.0000 0.0000 0.0000 1
Sm1 Sm 0.0000 0.0000 0.7885 1
Rh1 Rh 0.0000 0.0000 0.3928 1
I1 I 0.0000 0.0000 0.5632 1

***

# SrCd10In, relaxed, DFT PBE
# * E_form: -77 kJ/mol of formula units
# * calculated volume: 25.76 Å³ per atom
data_SrCd10In
_chemical_formula_sum 'Sr1 Cd10 In1'
_symmetry_space_group_name_H-M 'P m m m'
_symmetry_Int_Tables_number 47
_cell_length_a 4.932
_cell_length_b 6.090
_cell_length_c 10.294
_cell_angle_alpha 90.00
_cell_angle_beta 90.00
_cell_angle_gamma 90.00
loop_
_symmetry_equiv_pos_as_xyz
'x,y,z'
'-x,-y,-z'
'-x,-y,z'
'x,y,-z'
'x,-y,-z'
'-x,y,z'
'-x,y,-z'
'x,-y,z'
loop_
_atom_site_label
_atom_site_type_symbol
_atom_site_fract_x
_atom_site_fract_y
_atom_site_fract_z
_atom_site_occupancy
Sr1 Sr 0.000 0.000 0.000 1
Cd1 Cd 0.000 0.000 0.343 1
Cd2 Cd 0.000 0.500 0.185 1
Cd3 Cd 0.500 0.000 0.500 1
Cd4 Cd 0.500 0.241 0.241 1
Cd5 Cd 0.500 0.500 0.000 1
In1 In 0.000 0.500 0.500 1

***

# NaLaP2, relaxed, DFT PBE
# * E_form: -225 kJ/mol of formula units
# * calculated volume: 22.21 Å³ per atom
# * ΔE to the lowest computed polymorph: 0.0000 eV per atom
data_NaLaP2
_chemical_formula_sum 'Na4 La4 P8'
_symmetry_space_group_name_H-M 'F m -3 m'
_symmetry_Int_Tables_number 225
_symmetry_space_group_name_Hall '-F 4 2 3'
_cell_length_a 7.083
_cell_length_b 7.083
_cell_length_c 7.083
_cell_angle_alpha 90.00
_cell_angle_beta 90.00
_cell_angle_gamma 90.00
loop_
_atom_site_label
_atom_site_type_symbol
_atom_site_fract_x
_atom_site_fract_y
_atom_site_fract_z
_atom_site_occupancy
Na1 Na 0.000 0.000 0.000 1
La1 La 0.000 0.000 0.500 1
P1 P 0.250 0.250 0.250 1

***

Taking the records one at a time from the top gives total magnetization values of 0.000; 0.000; 0.000; 0.000 μB/atom.
Taking the records one at a time from the top gives calculated density values of 7.42; 7.64; 7.12; 4.18 g/cm3.